Record 1
This record from Alexandria via LeMat-Bulk describes a geometry-optimized CrCdRh4 structure. The functional is PBE-GGA.

a b c (Å): 5.156 5.156 5.156
angles (deg): 60.00 60.00 60.00
Positions (direct):
Rh1 0.375 0.375 0.375
Rh2 0.375 0.875 0.375
Rh3 0.875 0.375 0.375
Rh4 0.375 0.375 0.875
Cr1 0.000 0.000 0.000
Cd1 0.750 0.750 0.750

## Properties
The formation energy comes out at 194.5 meV/atom. Its space group is No. 216.


Record 2
This record from Alexandria via LeMat-Bulk describes a geometry-optimized CrCd2Rh structure. The functional is PBE-GGA.

a b c (Å): 3.355 3.355 6.238
angles (deg): 90.00 90.00 90.00
Positions (direct):
Cd1 0.000 0.000 0.993
Cr1 0.500 0.500 0.250
Cd2 0.000 0.000 0.507
Rh1 0.500 0.500 0.750

## Properties
The formation energy comes out at 166.3 meV/atom. Its space group is No. 123.


Record 3
This record from Alexandria via LeMat-Bulk describes a geometry-optimized CrCdRu2 structure. The functional is PBE-GGA.

a b c (Å): 9.205 9.205 9.205
angles (deg): 17.21 17.21 17.21
Positions (direct):
Ru1 0.003 0.003 0.003
Ru2 0.256 0.256 0.256
Cr1 0.742 0.742 0.742
Cd1 0.499 0.499 0.499

## Properties
The formation energy comes out at 354.4 meV/atom. Its space group is No. 160.


Record 4
This record from Alexandria via LeMat-Bulk describes a geometry-optimized CrCdRu2 structure. The functional is PBE-GGA.

a b c (Å): 5.194 5.194 5.194
angles (deg): 145.92 128.96 62.81
Positions (direct):
Cr1 0.226 0.726 0.500
Cd1 0.488 0.488 0.000
Ru1 0.763 0.263 0.500
Ru2 0.022 0.022 0.000

## Properties
The formation energy comes out at 433.5 meV/atom. Its space group is No. 44.


Record 5
This record from Alexandria via LeMat-Bulk describes a geometry-optimized CrCdRu2 structure. The functional is PBE-GGA.

a b c (Å): 4.894 4.894 4.894
angles (deg): 133.39 133.39 68.04
Positions (direct):
Cr1 0.750 0.250 0.500
Cd1 0.500 0.500 0.000
Ru1 0.250 0.750 0.500
Ru2 0.000 0.000 0.000

## Properties
The formation energy comes out at 435.1 meV/atom. Its space group is No. 119.


Record 6
This record from Alexandria via LeMat-Bulk describes a geometry-optimized Cr2CdRu2 structure. The functional is PBE-GGA.

a b c (Å): 7.295 7.295 2.744
angles (deg): 90.00 90.00 90.00
Positions (direct):
Cr1 0.387 0.887 0.000
Ru1 0.170 0.670 0.500
Ru2 0.670 0.830 0.500
Cd1 0.500 0.500 0.000
Cd2 0.000 0.000 0.000
Cr2 0.113 0.387 0.000
Cr3 0.887 0.613 0.000
Cr4 0.613 0.113 0.000
Ru3 0.330 0.170 0.500
Ru4 0.830 0.330 0.500

## Properties
The formation energy comes out at 238.1 meV/atom. Its space group is No. 127.


Record 7
This record from Alexandria via LeMat-Bulk describes a geometry-optimized CrCdRu2 structure. The functional is PBE-GGA.

a b c (Å): 2.700 2.700 9.248
angles (deg): 90.00 90.00 116.23
Positions (direct):
Ru1 0.500 0.500 0.235
Cd1 0.000 0.000 0.505
Cr1 0.500 0.500 0.771
Ru2 0.000 0.000 0.988

## Properties
The formation energy comes out at 525.2 meV/atom. Its space group is No. 35.


Record 8
This record from Alexandria via LeMat-Bulk describes a geometry-optimized CrCdRu2 structure. The functional is PBE-GGA.

a b c (Å): 9.115 9.115 9.115
angles (deg): 17.45 17.45 17.45
Positions (direct):
Ru1 0.010 0.010 0.010
Cd1 0.250 0.250 0.250
Cr1 0.750 0.750 0.750
Ru2 0.490 0.490 0.490

## Properties
The formation energy comes out at 200.9 meV/atom. Its space group is No. 166.